A relaxed structure of HoThIn2. Source: Alexandria, functional PBE.

Cell and atoms, written as CIF:
```
data_HoThIn2
_chemical_formula_sum 'Ho1 Th1 In2'
_cell_length_a 3.5646
_cell_length_b 3.5646
_cell_length_c 10.6692
_cell_angle_alpha 80.38
_cell_angle_beta 80.38
_cell_angle_gamma 60.00
_space_group_name_H-M_alt 'P 1'
_space_group_IT_number 1
loop_
_space_group_symop_operation_xyz
'x,y,z'
loop_
_atom_site_label
_atom_site_type_symbol
_atom_site_fract_x
_atom_site_fract_y
_atom_site_fract_z
Ho1 Ho 0.0000 0.0000 0.0000
In1 In 0.7464 0.7464 0.7609
In2 In 0.2536 0.2536 0.2391
Th1 Th 0.5000 0.5000 0.5000
```

Properties
D(E_F) in states/eV/atom: 1.014
DFT formation energy in kJ per mole of atoms: -21
DFT total energy in eV per formula unit: -18.353
Total moment in μB per atom: 0.000

A relaxed structure of Ho5ThIn3. Source: Alexandria, functional PBE.

Cell and atoms, written as CIF:
```
data_Ho5ThIn3
_chemical_formula_sum 'Ho10 Th2 In6'
_cell_length_a 6.6740
_cell_length_b 9.3671
_cell_length_c 9.3663
_cell_angle_alpha 120.00
_cell_angle_beta 90.00
_cell_angle_gamma 90.00
_space_group_name_H-M_alt 'P 1'
_space_group_IT_number 1
loop_
_space_group_symop_operation_xyz
'x,y,z'
loop_
_atom_site_label
_atom_site_type_symbol
_atom_site_fract_x
_atom_site_fract_y
_atom_site_fract_z
Th1 Th 0.5000 0.0000 0.0000
In1 In 0.2500 0.3431 0.0000
In2 In 0.7500 0.3431 0.3431
Ho1 Ho 0.5000 0.3333 0.6666
Ho2 Ho 0.5000 0.6667 0.3334
Ho3 Ho 0.0000 0.6667 0.3334
Ho4 Ho 0.0000 0.3333 0.6666
In3 In 0.2500 0.6569 0.6569
Ho5 Ho 0.2500 0.3270 0.3270
Ho6 Ho 0.2500 0.0000 0.6730
In4 In 0.7500 0.0000 0.6569
Ho7 Ho 0.7500 0.0000 0.3270
Ho8 Ho 0.7500 0.3270 0.0000
Ho9 Ho 0.7500 0.6730 0.6730
In5 In 0.2500 0.0000 0.3431
Th2 Th 0.0000 0.0000 0.0000
In6 In 0.7500 0.6569 0.0000
Ho10 Ho 0.2500 0.6730 0.0000
```

Properties
D(E_F) in states/eV/atom: 1.152
DFT formation energy in kJ per mole of atoms: -32
DFT total energy in eV per formula unit: -41.496
Total moment in μB per atom: 0.000

A relaxed structure of Ho3Th2In2. Source: Alexandria, functional PBE.

Cell and atoms, written as CIF:
```
data_Ho3Th2In2
_chemical_formula_sum 'Ho3 Th2 In2'
_cell_length_a 4.7554
_cell_length_b 3.4565
_cell_length_c 12.5620
_cell_angle_alpha 90.00
_cell_angle_beta 79.09
_cell_angle_gamma 90.00
_space_group_name_H-M_alt 'P 1'
_space_group_IT_number 1
loop_
_space_group_symop_operation_xyz
'x,y,z'
loop_
_atom_site_label
_atom_site_type_symbol
_atom_site_fract_x
_atom_site_fract_y
_atom_site_fract_z
Ho1 Ho 0.0000 0.0000 0.0000
Ho2 Ho 0.8642 0.0000 0.2716
Ho3 Ho 0.1358 0.0000 0.7284
In1 In 0.5697 0.5000 0.8606
Th1 Th 0.7122 0.5000 0.5755
In2 In 0.4303 0.5000 0.1394
Th2 Th 0.2878 0.5000 0.4245
```

Properties
D(E_F) in states/eV/atom: 1.153
DFT formation energy in kJ per mole of atoms: -10
DFT total energy in eV per formula unit: -34.756
Total moment in μB per atom: 0.000

A relaxed structure of HoTh3In12. Source: Alexandria, functional PBE.

Cell and atoms, written as CIF:
```
data_HoTh3In12
_chemical_formula_sum 'Ho1 Th3 In12'
_cell_length_a 4.7238
_cell_length_b 4.7238
_cell_length_c 18.7443
_cell_angle_alpha 90.00
_cell_angle_beta 90.00
_cell_angle_gamma 90.00
_space_group_name_H-M_alt 'P 1'
_space_group_IT_number 1
loop_
_space_group_symop_operation_xyz
'x,y,z'
loop_
_atom_site_label
_atom_site_type_symbol
_atom_site_fract_x
_atom_site_fract_y
_atom_site_fract_z
In1 In 0.0000 0.5000 0.8800
In2 In 0.5000 0.5000 0.0000
Th1 Th 0.0000 0.0000 0.2466
In3 In 0.5000 0.0000 0.3733
Th2 Th 0.0000 0.0000 0.7534
In4 In 0.5000 0.5000 0.7525
In5 In 0.5000 0.0000 0.1200
Th3 Th 0.0000 0.0000 0.5000
In6 In 0.0000 0.5000 0.6267
In7 In 0.5000 0.5000 0.5000
In8 In 0.5000 0.5000 0.2475
In9 In 0.0000 0.5000 0.3733
In10 In 0.0000 0.5000 0.1200
In11 In 0.5000 0.0000 0.8800
In12 In 0.5000 0.0000 0.6267
Ho1 Ho 0.0000 0.0000 0.0000
```

Properties
D(E_F) in states/eV/atom: 0.397
DFT formation energy in kJ per mole of atoms: -35
DFT total energy in eV per formula unit: -65.468
Total moment in μB per atom: 0.000

A relaxed structure of HoTh12In3. Source: Alexandria, functional PBE.

Cell and atoms, written as CIF:
```
data_HoTh12In3
_chemical_formula_sum 'Ho1 Th12 In3'
_cell_length_a 4.9673
_cell_length_b 4.9673
_cell_length_c 20.0142
_cell_angle_alpha 90.00
_cell_angle_beta 90.00
_cell_angle_gamma 90.00
_space_group_name_H-M_alt 'P 1'
_space_group_IT_number 1
loop_
_space_group_symop_operation_xyz
'x,y,z'
loop_
_atom_site_label
_atom_site_type_symbol
_atom_site_fract_x
_atom_site_fract_y
_atom_site_fract_z
Th1 Th 0.5000 0.5000 0.7480
Th2 Th 0.5000 0.5000 0.0000
Ho1 Ho 0.0000 0.0000 0.0000
In1 In 0.0000 0.0000 0.2534
Th3 Th 0.5000 0.0000 0.8711
Th4 Th 0.5000 0.5000 0.5000
Th5 Th 0.5000 0.0000 0.1289
Th6 Th 0.0000 0.5000 0.8711
Th7 Th 0.5000 0.0000 0.6235
Th8 Th 0.0000 0.5000 0.3765
Th9 Th 0.5000 0.5000 0.2520
Th10 Th 0.5000 0.0000 0.3765
Th11 Th 0.0000 0.5000 0.6235
Th12 Th 0.0000 0.5000 0.1289
In2 In 0.0000 0.0000 0.7466
In3 In 0.0000 0.0000 0.5000
```

Properties
D(E_F) in states/eV/atom: 1.347
DFT formation energy in kJ per mole of atoms: -9
DFT total energy in eV per formula unit: -103.241
Total moment in μB per atom: 0.000

A relaxed structure of Ho2ThIn. Source: Alexandria, functional PBE.

Cell and atoms, written as CIF:
```
data_Ho2ThIn
_chemical_formula_sum 'Ho2 Th1 In1'
_cell_length_a 3.5685
_cell_length_b 3.5685
_cell_length_c 9.0456
_cell_angle_alpha 90.00
_cell_angle_beta 90.00
_cell_angle_gamma 90.00
_space_group_name_H-M_alt 'P 1'
_space_group_IT_number 1
loop_
_space_group_symop_operation_xyz
'x,y,z'
loop_
_atom_site_label
_atom_site_type_symbol
_atom_site_fract_x
_atom_site_fract_y
_atom_site_fract_z
Th1 Th 0.5000 0.5000 0.5000
Ho1 Ho 0.0000 0.0000 0.7681
Ho2 Ho 0.0000 0.0000 0.2319
In1 In 0.5000 0.5000 0.0000
```

Properties
D(E_F) in states/eV/atom: 0.901
Energy above the most stable polymorph in this dataset in eV/atom: 0.0000
DFT formation energy in kJ per mole of atoms: -24
DFT total energy in eV per formula unit: -20.297
Total moment in μB per atom: 0.000

A relaxed structure of HoTh2In. Source: Alexandria, functional PBE.

Cell and atoms, written as CIF:
```
data_HoTh2In
_chemical_formula_sum 'Ho2 Th4 In2'
_cell_length_a 4.7184
_cell_length_b 4.6925
_cell_length_c 11.4761
_cell_angle_alpha 90.00
_cell_angle_beta 101.92
_cell_angle_gamma 90.00
_space_group_name_H-M_alt 'P 1'
_space_group_IT_number 1
loop_
_space_group_symop_operation_xyz
'x,y,z'
loop_
_atom_site_label
_atom_site_type_symbol
_atom_site_fract_x
_atom_site_fract_y
_atom_site_fract_z
Ho1 Ho 0.6948 0.7500 0.3875
In1 In 0.1698 0.2500 0.3375
Th1 Th 0.5621 0.2500 0.1234
Th2 Th 0.0611 0.7500 0.1216
Th3 Th 0.9389 0.2500 0.8784
Ho2 Ho 0.3052 0.2500 0.6125
In2 In 0.8302 0.7500 0.6625
Th4 Th 0.4379 0.7500 0.8766
```

Properties
D(E_F) in states/eV/atom: 0.994
Energy above the most stable polymorph in this dataset in eV/atom: 0.0666
DFT formation energy in kJ per mole of atoms: -12
DFT total energy in eV per formula unit: -22.644
Total moment in μB per atom: 0.000

A relaxed structure of Ho9ThIn2. Source: Alexandria, functional PBE.

Cell and atoms, written as CIF:
```
data_Ho9ThIn2
_chemical_formula_sum 'Ho9 Th1 In2'
_cell_length_a 4.8656
_cell_length_b 4.8656
_cell_length_c 14.7963
_cell_angle_alpha 90.00
_cell_angle_beta 90.00
_cell_angle_gamma 90.00
_space_group_name_H-M_alt 'P 1'
_space_group_IT_number 1
loop_
_space_group_symop_operation_xyz
'x,y,z'
loop_
_atom_site_label
_atom_site_type_symbol
_atom_site_fract_x
_atom_site_fract_y
_atom_site_fract_z
Ho1 Ho 0.5000 0.0000 0.8287
In1 In 0.0000 0.0000 0.6617
In2 In 0.0000 0.0000 0.3383
Ho2 Ho 0.0000 0.5000 0.5000
Ho3 Ho 0.5000 0.5000 0.6619
Th1 Th 0.0000 0.0000 0.0000
Ho4 Ho 0.5000 0.5000 0.3381
Ho5 Ho 0.0000 0.5000 0.1713
Ho6 Ho 0.0000 0.5000 0.8287
Ho7 Ho 0.5000 0.0000 0.5000
Ho8 Ho 0.5000 0.5000 0.0000
Ho9 Ho 0.5000 0.0000 0.1713
```

Properties
D(E_F) in states/eV/atom: 1.403
DFT formation energy in kJ per mole of atoms: -15
DFT total energy in eV per formula unit: -55.901
Total moment in μB per atom: 0.000

A relaxed structure of HoTh2In. Source: Alexandria, functional PBE.

Cell and atoms, written as CIF:
```
data_HoTh2In
_chemical_formula_sum 'Ho1 Th2 In1'
_cell_length_a 3.5121
_cell_length_b 3.5121
_cell_length_c 11.6944
_cell_angle_alpha 81.36
_cell_angle_beta 81.36
_cell_angle_gamma 60.00
_space_group_name_H-M_alt 'P 1'
_space_group_IT_number 1
loop_
_space_group_symop_operation_xyz
'x,y,z'
loop_
_atom_site_label
_atom_site_type_symbol
_atom_site_fract_x
_atom_site_fract_y
_atom_site_fract_z
Ho1 Ho 0.6662 0.6662 0.0015
Th1 Th 0.0860 0.0860 0.7421
In1 In 0.5004 0.5004 0.4988
Th2 Th 0.2475 0.2475 0.2576
```

Properties
D(E_F) in states/eV/atom: 1.474
Energy above the most stable polymorph in this dataset in eV/atom: 0.1693
DFT formation energy in kJ per mole of atoms: -2
DFT total energy in eV per formula unit: -22.233
Total moment in μB per atom: 0.000

A relaxed structure of HoTh2In. Source: Alexandria, functional PBE.

Cell and atoms, written as CIF:
```
data_HoTh2In
_chemical_formula_sum 'Ho1 Th2 In1'
_cell_length_a 3.4870
_cell_length_b 3.4870
_cell_length_c 10.0775
_cell_angle_alpha 90.00
_cell_angle_beta 90.00
_cell_angle_gamma 90.00
_space_group_name_H-M_alt 'P 1'
_space_group_IT_number 1
loop_
_space_group_symop_operation_xyz
'x,y,z'
loop_
_atom_site_label
_atom_site_type_symbol
_atom_site_fract_x
_atom_site_fract_y
_atom_site_fract_z
Th1 Th 0.0000 0.0000 0.2369
Ho1 Ho 0.5000 0.5000 0.5000
Th2 Th 0.0000 0.0000 0.7631
In1 In 0.5000 0.5000 0.0000
```

Properties
D(E_F) in states/eV/atom: 1.304
Energy above the most stable polymorph in this dataset in eV/atom: 0.1286
DFT formation energy in kJ per mole of atoms: -6
DFT total energy in eV per formula unit: -22.396
Total moment in μB per atom: 0.000

A relaxed structure of Ho2ThIn. Source: Alexandria, functional PBE.

Cell and atoms, written as CIF:
```
data_Ho2ThIn
_chemical_formula_sum 'Ho2 Th1 In1'
_cell_length_a 5.4452
_cell_length_b 5.4452
_cell_length_c 5.4452
_cell_angle_alpha 60.00
_cell_angle_beta 60.00
_cell_angle_gamma 60.00
_space_group_name_H-M_alt 'P 1'
_space_group_IT_number 1
loop_
_space_group_symop_operation_xyz
'x,y,z'
loop_
_atom_site_label
_atom_site_type_symbol
_atom_site_fract_x
_atom_site_fract_y
_atom_site_fract_z
Ho1 Ho 0.2500 0.2500 0.2500
Ho2 Ho 0.7500 0.7500 0.7500
In1 In 0.0000 0.0000 0.0000
Th1 Th 0.5000 0.5000 0.5000
```

Properties
D(E_F) in states/eV/atom: 2.001
Energy above the most stable polymorph in this dataset in eV/atom: 0.2262
DFT formation energy in kJ per mole of atoms: -2
DFT total energy in eV per formula unit: -19.392
Total moment in μB per atom: 0.137

A relaxed structure of Ho2ThIn2. Source: Alexandria, functional PBE.

Cell and atoms, written as CIF:
```
data_Ho2ThIn2
_chemical_formula_sum 'Ho2 Th1 In2'
_cell_length_a 5.2622
_cell_length_b 5.2622
_cell_length_c 6.5247
_cell_angle_alpha 90.00
_cell_angle_beta 90.00
_cell_angle_gamma 120.00
_space_group_name_H-M_alt 'P 1'
_space_group_IT_number 1
loop_
_space_group_symop_operation_xyz
'x,y,z'
loop_
_atom_site_label
_atom_site_type_symbol
_atom_site_fract_x
_atom_site_fract_y
_atom_site_fract_z
Ho1 Ho 0.3333 0.6667 0.6634
In1 In 0.3333 0.6667 0.1872
Ho2 Ho 0.6667 0.3333 0.3366
In2 In 0.6667 0.3333 0.8128
Th1 Th 0.0000 0.0000 0.0000
```

Properties
D(E_F) in states/eV/atom: 1.256
DFT formation energy in kJ per mole of atoms: -11
DFT total energy in eV per formula unit: -22.619
Total moment in μB per atom: 0.000